# ZnMoPb2 | Alexandria via LeMat-Bulk | PBE | optimized geometry
# Calculated volume (Å³ per cell): 87.9
# Energy (eV/cell): -16.6
data_ZnMoPb2
_chemical_formula_sum 'Zn1 Mo1 Pb2'
_space_group_name_H-M_alt 'P m m m'
_space_group_IT_number 47
_space_group_name_Hall '-P 2 2'
_cell_length_a 3.357
_cell_length_b 4.756
_cell_length_c 5.506
_cell_angle_alpha 90.00
_cell_angle_beta 90.00
_cell_angle_gamma 90.00
loop_
_atom_site_label
_atom_site_type_symbol
_atom_site_fract_x
_atom_site_fract_y
_atom_site_fract_z
_atom_site_occupancy
Zn1 Zn 0.000 0.000 0.000 1
Mo1 Mo 0.500 0.000 0.500 1
Pb1 Pb 0.000 0.500 0.500 1
Pb2 Pb 0.500 0.500 0.000 1